A) Compound: InCI2
Source: Alexandria via LeMat-Bulk
Functional: PBE
Structure: optimized geometry

## Properties
total magnetic moment = 0.0 μB/cell

a = 4.150 Å, b = 5.069 Å, c = 7.741 Å
α = 103.13°, β = 96.92°, γ = 114.10°
Space group P1 (No. 1)
Symmetry-distinct sites (fractional):
In 0.000 0.000 0.000
C 0.397 0.793 0.000
I 0.128 0.382 0.731
I 0.386 0.656 0.269

B) Compound: InCI2
Source: Alexandria via LeMat-Bulk
Functional: PBE
Structure: optimized geometry

## Properties
total magnetic moment = 0.0 μB/cell

a = 3.8211 Å, b = 3.8211 Å, c = 9.0740 Å
α = 90.00°, β = 90.00°, γ = 120.00°
Space group P3m1 (No. 156)
Symmetry-distinct sites (fractional):
In 0.0000 0.0000 0.0000
C 0.6667 0.3333 0.0700
I 0.0000 0.0000 0.6892
I 0.6667 0.3333 0.3065

C) Compound: InCI2
Source: Alexandria via LeMat-Bulk
Functional: PBE
Structure: optimized geometry

## Properties
total magnetic moment = 3.3 μB/cell

a = 7.515 Å, b = 7.515 Å, c = 10.643 Å
α = 90.00°, β = 90.00°, γ = 90.00°
Space group I-42d (No. 122)
Symmetry-distinct sites (fractional):
In 0.000 0.000 0.000
C 0.000 0.000 0.500
I 0.002 0.250 0.625

It is B) that is most stable; the runner-up trails by 146 meV/atom.